1.
LaTm8Bi6: optimized geometry, PBE.

Computed properties:
The value obtained for the formation enthalpy at 0 K is -468.3 meV per atom.

a b c (Å): 7.6129 7.6129 29.5476
angles (deg): 90.00 90.00 120.00
Space group R-3 (No. 148, hexagonal axes)
Unique sites:
La (0.0000, 0.0000, 0.0000) x3
Tm (0.0000, 0.0000, 0.3340) x6
Tm (0.0059, 0.3223, 0.1228) x18
Bi (0.0035, 0.3482, 0.9357) x18

***

2.
La5TmBi6: optimized geometry, PBE.

Computed properties:
The value obtained for the formation enthalpy at 0 K is -1002.1 meV per atom.

a b c (Å): 8.0773 13.9925 8.0784
angles (deg): 90.00 109.52 90.00
Space group C2/m (No. 12)
Unique sites:
La (0.0000, 0.0000, 0.0000) x2
La (0.0000, 0.1656, 0.5000) x4
La (0.0000, 0.3304, 0.0000) x4
Tm (0.0000, 0.5000, 0.5000) x2
Bi (0.2420, 0.5000, 0.2531) x4
Bi (0.2434, 0.3375, 0.7437) x8